# 1
## PaMnGa (PBE)

Data for crystalline PaMnGa at its relaxed geometry.

Symmetry: I4mm (107)
Total magnetization in μB/atom: 0.0594
Energy relative to the elements in eV/atom: -0.1368
Total energy in Ha/atom: -0.2708

The structure in POSCAR format:
```
PaMnGa
1.0
-1.5262 1.5262 5.5423
1.5262 -1.5262 5.5423
1.5262 1.5262 -5.5423
Pa Mn Ga
1 1 1
Direct
0.0000 0.0000 0.0000
0.3422 0.3422 0.0000
0.7181 0.7181 0.0000
```

# 2
## PaMn4Ga8 (PBE)

Data for crystalline PaMn4Ga8 at its relaxed geometry.

Symmetry: I4/mmm (139)
Total magnetization in μB/atom: 0.6030
Energy relative to the elements in eV/atom: -0.2004
Total energy in Ha/atom: -0.2063

The structure in POSCAR format:
```
PaMn4Ga8
1.0
-4.3896 4.3896 2.5885
4.3896 -4.3896 2.5885
4.3896 4.3896 -2.5885
Pa Mn Ga
1 4 8
Direct
0.0000 0.0000 0.0000
0.0000 0.0000 0.5000
0.0000 0.5000 0.0000
0.5000 0.0000 0.0000
0.5000 0.5000 0.5000
0.0000 0.3403 0.3403
0.0000 0.6597 0.6597
0.2760 0.5000 0.7760
0.3403 0.0000 0.3403
0.5000 0.2760 0.7760
0.5000 0.7240 0.2240
0.6597 0.0000 0.6597
0.7240 0.5000 0.2240
```

# 3
## Pa2Mn2Ga (PBE)

Data for crystalline Pa2Mn2Ga at its relaxed geometry.

Symmetry: C2/c (15)
Total magnetization in μB/atom: 0.0000
Energy relative to the elements in eV/atom: -0.2494
Total energy in Ha/atom: -0.3058
Energy above the most stable polymorph in this dataset in eV/atom: 0.000

The structure in POSCAR format:
```
Pa2Mn2Ga
1.0
4.9697 -2.4001 0.0000
4.9697 2.4001 0.0000
-2.5507 0.0000 7.6174
Pa Mn Ga
4 4 2
Direct
0.0290 0.2795 0.1279
0.2795 0.0290 0.6279
0.7205 0.9710 0.3721
0.9710 0.7205 0.8721
0.2148 0.5058 0.4555
0.4942 0.7852 0.0445
0.5058 0.2148 0.9555
0.7852 0.4942 0.5445
0.4019 0.5981 0.2500
0.5981 0.4019 0.7500
```